# GGA-PBE KLiNi2, relaxed
# Energy above the lowest structure with this stoichiometry = 483 meV/atom
# SG = P4/mmm
# Mass density = 3.57 Mg/m³
# Total magnetic moment = 1.0 μB per formula unit
# ΔE_f = 0.841 eV per atom
data_KLiNi2
_chemical_formula_sum 'K1 Li1 Ni2'
_symmetry_space_group_name_H-M 'P 1'
_symmetry_Int_Tables_number 1
_symmetry_space_group_name_Hall 'P 1'
_cell_length_a 5.402
_cell_length_b 5.402
_cell_length_c 2.601
_cell_angle_alpha 90.00
_cell_angle_beta 90.00
_cell_angle_gamma 90.00
loop_
_atom_site_label
_atom_site_type_symbol
_atom_site_fract_x
_atom_site_fract_y
_atom_site_fract_z
K1 K 0.000 0.000 0.000
Li1 Li 0.500 0.500 0.000
Ni1 Ni 0.000 0.500 0.500
Ni2 Ni 0.500 0.000 0.500

=====

# GGA-PBE K2ZrH, relaxed
# Energy above the lowest structure with this stoichiometry = 0 meV/atom
# SG = I-42d
# Mass density = 1.79 Mg/m³
# Total magnetic moment = 2.6 μB per formula unit
data_K2ZrH
_chemical_formula_sum 'K4 Zr2 H2'
_symmetry_space_group_name_H-M 'P 1'
_symmetry_Int_Tables_number 1
_symmetry_space_group_name_Hall 'P 1'
_cell_length_a 9.172
_cell_length_b 9.172
_cell_length_c 9.172
_cell_angle_alpha 92.64
_cell_angle_beta 92.64
_cell_angle_gamma 155.20
loop_
_atom_site_label
_atom_site_type_symbol
_atom_site_fract_x
_atom_site_fract_y
_atom_site_fract_z
K1 K 0.375 0.035 0.160
K2 K 0.785 0.625 0.660
K3 K 0.875 0.215 0.840
K4 K 0.965 0.125 0.340
Zr1 Zr 0.250 0.750 0.500
Zr2 Zr 0.500 0.500 0.000
H1 H 0.000 0.000 0.000
H2 H 0.750 0.250 0.500

=====

# GGA-PBE LaZnCo, relaxed
# SG = Cmcm
# Mass density = 7.00 Mg/m³
# Total magnetic moment = 0.1 μB per formula unit
# ΔE_f = -0.171 eV per atom
data_LaZnCo
_chemical_formula_sum 'La2 Zn2 Co2'
_symmetry_space_group_name_H-M 'P 1'
_symmetry_Int_Tables_number 1
_symmetry_space_group_name_Hall 'P 1'
_cell_length_a 8.344
_cell_length_b 8.344
_cell_length_c 3.851
_cell_angle_alpha 90.00
_cell_angle_beta 90.00
_cell_angle_gamma 152.23
loop_
_atom_site_label
_atom_site_type_symbol
_atom_site_fract_x
_atom_site_fract_y
_atom_site_fract_z
La1 La 0.101 0.899 0.750
La2 La 0.899 0.101 0.250
Zn1 Zn 0.297 0.703 0.750
Zn2 Zn 0.703 0.297 0.250
Co1 Co 0.458 0.542 0.750
Co2 Co 0.542 0.458 0.250

=====

> The lowest total magnetic moment belongs to which entry?

LaZnCo

=====

> mass density of number 3 (LaZnCo)?

7.00 Mg/m³